Record 1
## SmGd2Al3Ni3 (PBE)

Data for a geometry-optimized SmGd2Al3Ni3 structure.

The structure in POSCAR format:
```
SmGd2Al3Ni3
1.0
3.939 0.000 0.000
0.000 6.081 3.524
0.000 -6.081 3.524
Sm Gd Al Ni
1 2 3 3
direct
0.000 0.000 0.000 Sm
0.000 0.163 0.581 Gd
0.000 0.581 0.163 Gd
0.500 0.350 0.350 Al
0.500 0.579 0.813 Al
0.500 0.813 0.579 Al
0.000 0.580 0.580 Ni
0.500 0.250 0.913 Ni
0.500 0.913 0.250 Ni
```

Calculated values
total moment	0.01	μB per cell
ρ	7.101	g/cm3
total energy	-47.15	eV/cell
crystal system	orthorhombic
volume	18.758	Å³/atom
SG	No. 38



Record 2
## Li2MgAl2ZnPd2 (PBE)

Data for a geometry-optimized Li2MgAl2ZnPd2 structure.

The structure in POSCAR format:
```
Li2MgAl2ZnPd2
1.0
4.362 0.000 0.000
0.000 4.362 0.000
0.000 0.000 6.193
Li Mg Al Zn Pd
2 1 2 1 2
direct
0.000 0.500 0.236 Li
0.500 0.000 0.764 Li
0.000 0.000 0.500 Mg
0.000 0.000 0.000 Al
0.500 0.500 0.500 Al
0.500 0.500 0.000 Zn
0.000 0.500 0.757 Pd
0.500 0.000 0.243 Pd
```

Calculated values
ρ	5.220	g/cm3
total energy	-28.94	eV/cell
crystal system	tetragonal
volume	14.728	Å³/atom
SG	No. 115



Record 3
## SrZnPb (PBE)

Data for a geometry-optimized SrZnPb structure.

The structure in POSCAR format:
```
SrZnPb
1.0
5.518 0.000 0.000
-2.759 4.779 0.000
0.000 0.000 6.662
Sr Zn Pb
2 2 2
direct
0.333 0.667 0.250 Sr
0.667 0.333 0.750 Sr
0.000 0.000 0.000 Zn
0.000 0.000 0.500 Zn
0.333 0.667 0.750 Pb
0.667 0.333 0.250 Pb
```

Calculated values
ρ	6.811	g/cm3
total energy	-13.99	eV/cell
crystal system	hexagonal
volume	29.274	Å³/atom
SG	No. 194



Record 4
## Ho5Os2O12 (PBE)

Data for a geometry-optimized Ho5Os2O12 structure.

The structure in POSCAR format:
```
Ho5Os2O12
1.0
6.188 -2.797 0.000
6.188 2.797 0.000
-2.252 0.000 7.055
Ho Os O
5 2 12
direct
0.000 0.000 0.000 Ho
0.301 0.301 0.141 Ho
0.312 0.312 0.672 Ho
0.688 0.688 0.328 Ho
0.699 0.699 0.859 Ho
0.220 0.780 0.500 Os
0.780 0.220 0.500 Os
0.001 0.001 0.295 O
0.086 0.579 0.414 O
0.099 0.596 0.928 O
0.404 0.901 0.072 O
0.421 0.914 0.586 O
0.499 0.499 0.322 O
0.501 0.501 0.678 O
0.579 0.086 0.414 O
0.596 0.099 0.928 O
0.901 0.404 0.072 O
0.914 0.421 0.586 O
0.999 0.999 0.705 O
```

Calculated values
total moment	0.92	μB per cell
ρ	9.499	g/cm3
total energy	-156.61	eV/cell
crystal system	monoclinic
volume	12.854	Å³/atom
SG	No. 12



Record 5
## TbGa2PtAu (PBE)

Data for a geometry-optimized TbGa2PtAu structure.

The structure in POSCAR format:
```
TbGa2PtAu
1.0
4.297 0.000 0.000
0.000 4.297 0.000
0.000 0.000 10.589
Tb Ga Pt Au
2 4 2 2
direct
0.250 0.250 0.239 Tb
0.750 0.750 0.761 Tb
0.250 0.250 0.642 Ga
0.250 0.750 0.000 Ga
0.750 0.250 0.000 Ga
0.750 0.750 0.358 Ga
0.250 0.250 0.871 Pt
0.750 0.750 0.129 Pt
0.250 0.750 0.500 Au
0.750 0.250 0.500 Au
```

Calculated values
total moment	0.01	μB per cell
ρ	11.729	g/cm3
total energy	-47.99	eV/cell
crystal system	tetragonal
volume	19.550	Å³/atom
SG	No. 129



Record 6
## NiAgPtPb (PBE)

Data for a geometry-optimized NiAgPtPb structure.

The structure in POSCAR format:
```
NiAgPtPb
1.0
0.000 3.252 3.252
3.252 0.000 3.252
3.252 3.252 0.000
Ni Ag Pt Pb
1 1 1 1
direct
0.000 0.000 0.000 Ni
0.250 0.250 0.250 Ag
0.500 0.500 0.500 Pt
0.750 0.750 0.750 Pb
```

Calculated values
total moment	0.01	μB per cell
ρ	13.732	g/cm3
total energy	-17.69	eV/cell
crystal system	cubic
volume	17.197	Å³/atom
SG	No. 216



Record 7
## ZrNiHgBi (PBE)

Data for a geometry-optimized ZrNiHgBi structure.

The structure in POSCAR format:
```
ZrNiHgBi
1.0
0.000 3.484 3.484
3.484 0.000 3.484
3.484 3.484 0.000
Zr Ni Hg Bi
1 1 1 1
direct
0.000 0.000 0.000 Zr
0.750 0.750 0.750 Ni
0.250 0.250 0.250 Hg
0.500 0.500 0.500 Bi
```

Calculated values
total moment	0.00	μB per cell
ρ	10.983	g/cm3
total energy	-17.80	eV/cell
crystal system	cubic
volume	21.147	Å³/atom
SG	No. 216



Record 8
## NaMgNiAs (PBE)

Data for a geometry-optimized NaMgNiAs structure.

The structure in POSCAR format:
```
NaMgNiAs
1.0
0.000 3.202 3.202
3.202 0.000 3.202
3.202 3.202 0.000
Na Mg Ni As
1 1 1 1
direct
0.000 0.000 0.000 Na
0.750 0.750 0.750 Mg
0.250 0.250 0.250 Ni
0.500 0.500 0.500 As
```

Calculated values
total moment	0.01	μB per cell
ρ	4.576	g/cm3
total energy	-13.15	eV/cell
crystal system	cubic
volume	16.413	Å³/atom
SG	No. 216



Record 9
## ZrOs (PBE)

Data for a geometry-optimized ZrOs structure.

The structure in POSCAR format:
```
ZrOs
1.0
3.285 0.000 0.000
0.000 4.869 0.000
0.000 0.000 4.383
Zr Os
2 2
direct
0.250 0.250 0.001 Zr
0.750 0.750 0.999 Zr
0.250 0.750 0.499 Os
0.750 0.250 0.501 Os
```

Calculated values
ΔH_f (0 K)	-0.080	eV per atom
total moment	0.00	μB per cell
ρ	13.330	g/cm3
total energy	-39.86	eV/cell
crystal system	orthorhombic
volume	17.531	Å³/atom
SG	No. 59



Record 10
## Y4Lu2As3C3 (PBE)

Data for a geometry-optimized Y4Lu2As3C3 structure.

The structure in POSCAR format:
```
Y4Lu2As3C3
1.0
5.430 -3.152 0.000
5.430 3.152 0.000
-3.628 0.000 13.927
Y Lu As C
8 4 6 6
direct
0.036 0.198 0.099 Y
0.134 0.301 0.401 Y
0.198 0.036 0.599 Y
0.301 0.134 0.901 Y
0.699 0.866 0.099 Y
0.802 0.964 0.401 Y
0.866 0.699 0.599 Y
0.964 0.802 0.901 Y
0.361 0.533 0.091 Lu
0.467 0.639 0.409 Lu
0.533 0.361 0.591 Lu
0.639 0.467 0.909 Lu
0.095 0.905 0.250 As
0.271 0.431 0.750 As
0.431 0.271 0.250 As
0.569 0.729 0.750 As
0.729 0.569 0.250 As
0.905 0.095 0.750 As
0.000 0.500 0.000 C
0.171 0.664 0.500 C
0.336 0.829 0.000 C
0.500 0.000 0.500 C
0.664 0.171 0.000 C
0.829 0.336 0.500 C
```

Calculated values
total moment	0.00	μB per cell
ρ	6.732	g/cm3
total energy	-170.81	eV/cell
crystal system	monoclinic
volume	19.864	Å³/atom
SG	No. 15



Record 11
## SmErZn2Sn2 (PBE)

Data for a geometry-optimized SmErZn2Sn2 structure.

The structure in POSCAR format:
```
SmErZn2Sn2
1.0
4.529 0.000 0.000
-2.265 3.922 0.000
0.000 0.000 15.805
Sm Er Zn Sn
2 2 4 4
direct
0.000 0.000 0.250 Sm
0.000 0.000 0.750 Sm
0.000 0.000 0.000 Er
0.000 0.000 0.500 Er
0.333 0.667 0.156 Zn
0.333 0.667 0.344 Zn
0.667 0.333 0.656 Zn
0.667 0.333 0.844 Zn
0.333 0.667 0.611 Sn
0.333 0.667 0.889 Sn
0.667 0.333 0.111 Sn
0.667 0.333 0.389 Sn
```

Calculated values
total moment	0.00	μB per cell
ρ	8.112	g/cm3
total energy	-46.63	eV/cell
crystal system	hexagonal
volume	23.398	Å³/atom
SG	No. 194



Record 12
## KBaNb (PBE)

Data for a geometry-optimized KBaNb structure.

The structure in POSCAR format:
```
KBaNb
1.0
0.000 4.164 4.164
4.164 0.000 4.164
4.164 4.164 0.000
K Ba Nb
1 1 1
direct
0.000 0.000 0.000 K
0.750 0.750 0.750 Ba
0.250 0.250 0.250 Nb
```

Calculated values
total moment	5.34	μB per cell
ρ	3.097	g/cm3
total energy	-8.20	eV/cell
crystal system	cubic
volume	48.133	Å³/atom
SG	No. 216



Question: Number 6 is which compound?
Answer: NiAgPtPb